# Rb2NpIO6

An optimized crystal structure of Rb2NpIO6 (PBE, Alexandria via LeMat-Bulk).

Unit cell a=5.968 b=5.968 c=6.762 alpha=63.79 beta=63.80 gamma=90.00
Each line ends with the local moment (μB).
Positions (direct):
Rb 0.750 0.250 0.500  0.00
Rb 0.250 0.750 0.500  0.00
Np 0.000 0.000 0.000  0.24
I 0.500 0.500 0.000  -0.01
O 0.179 0.179 0.643  -0.01
O 0.749 0.748 0.000  -0.01
O 0.252 0.749 0.000  -0.01
O 0.748 0.251 0.000  -0.01
O 0.251 0.252 0.000  -0.01
O 0.821 0.821 0.357  -0.01

Calculated values
- Crystal system: tetragonal
- Total DFT energy (no corrections): -6.411 eV/atom
- E_form (uncorrected): -1.793 eV per atom


# AcTa2HgO7

An optimized crystal structure of AcTa2HgO7 (PBE, Alexandria via LeMat-Bulk).

Unit cell a=3.904 b=3.904 c=11.346 alpha=90.00 beta=90.00 gamma=90.00
Each line ends with the local moment (μB).
Positions (direct):
Ac 0.000 0.000 0.000  0.00
Ta 0.500 0.500 0.211  0.00
Ta 0.500 0.500 0.789  0.00
Hg 0.000 0.000 0.500  0.13
O 0.500 0.500 0.629  0.03
O 0.000 0.500 0.173  0.00
O 0.500 0.000 0.173  0.00
O 0.000 0.500 0.827  0.00
O 0.500 0.000 0.827  0.00
O 0.500 0.500 0.371  0.03
O 0.500 0.500 0.000  0.00

Calculated values
- Crystal system: tetragonal
- Total DFT energy (no corrections): -8.267 eV/atom
- E_form (uncorrected): -2.556 eV per atom


# MnZnW2

An optimized crystal structure of MnZnW2 (PBE, Alexandria via LeMat-Bulk).

Unit cell a=4.391 b=4.391 c=4.391 alpha=60.00 beta=60.00 gamma=60.00
Each line ends with the local moment (μB).
Positions (direct):
Mn 0.500 0.500 0.500  2.74
W 0.000 0.000 0.000  0.43
W 0.250 0.250 0.250  -0.32
Zn 0.750 0.750 0.750  -0.01

Calculated values
- Crystal system: cubic
- Total DFT energy (no corrections): -8.782 eV/atom
- Formation energy from the elements: 0.31 eV/atom


# Pm5Pr6Sm2

An optimized crystal structure of Pm5Pr6Sm2 (PBE, Alexandria via LeMat-Bulk).

Unit cell a=3.687 b=11.953 c=21.041 alpha=90.00 beta=90.00 gamma=90.00
Positions (direct):
Pm 0.500 0.302 0.444
Pm 0.500 0.698 0.556
Pm 0.500 0.802 0.056
Pm 0.500 0.198 0.944
Pm 0.500 0.587 0.275
Pm 0.500 0.413 0.725
Pm 0.500 0.087 0.225
Pm 0.500 0.913 0.775
Pm 0.500 0.500 0.000
Pm 0.500 0.000 0.500
Pr 0.000 0.080 0.367
Pr 0.000 0.920 0.633
Pr 0.000 0.580 0.133
Pr 0.000 0.420 0.867
Pr 0.500 0.323 0.134
Pr 0.500 0.677 0.866
Pr 0.500 0.823 0.366
Pr 0.500 0.177 0.634
Pr 0.000 0.561 0.421
Pr 0.000 0.439 0.579
Pr 0.000 0.061 0.079
Pr 0.000 0.939 0.921
Sm 0.000 0.329 0.287
Sm 0.000 0.671 0.713
Sm 0.000 0.829 0.213
Sm 0.000 0.171 0.787

Calculated values
- Crystal system: orthorhombic
- Total DFT energy (no corrections): -4.668 eV/atom
- Formation energy from the elements: 0.09 eV/atom


# In2Ni2Cl

An optimized crystal structure of In2Ni2Cl (PBE, Alexandria via LeMat-Bulk).

Unit cell a=4.497 b=4.497 c=6.001 alpha=68.00 beta=68.00 gamma=90.00
Positions (direct):
Ni 0.385 0.385 0.229
Ni 0.615 0.615 0.771
Cl 0.000 0.000 0.000
In 0.750 0.250 0.500
In 0.250 0.750 0.500

Calculated values
- Crystal system: tetragonal
- Energy above the lowest structure with this stoichiometry: 244.0 meV/atom
- Total DFT energy (no corrections): -3.571 eV/atom
- E_form (uncorrected): 0.207 eV per atom


# Mn2VAu

An optimized crystal structure of Mn2VAu (PBE, Alexandria via LeMat-Bulk).

Unit cell a=3.133 b=3.133 c=5.922 alpha=90.00 beta=90.00 gamma=90.00
Each line ends with the local moment (μB).
Positions (direct):
Mn 0.000 0.000 0.728  3.08
Mn 0.000 0.000 0.272  3.08
Au 0.500 0.500 0.000  0.07
V 0.500 0.500 0.500  -1.66

Calculated values
- Crystal system: tetragonal
- Energy above the lowest structure with this stoichiometry: 0.0 meV/atom
- Total DFT energy (no corrections): -7.725 eV/atom
- Formation energy from the elements: -0.04 eV/atom


- The highest total DFT energy (no corrections) belongs to which entry?
  In2Ni2Cl


- What is the formula in the first record?
  Rb2NpIO6


- total DFT energy (no corrections) of number 6 (Mn2VAu)?
  -7.725 eV/atom


- The lowest total DFT energy (no corrections) belongs to which entry?
  MnZnW2